Record 1
Ac8CoRh3Cl4: relaxed, PBE.

a = 8.571 Å, b = 9.429 Å, c = 8.570 Å
α = 117.13°, β = 120.01°, γ = 90.00°
Element x y z (fractional)
Ac 0.735 0.704 0.470
Ac 0.260 0.299 0.029
Ac 0.231 0.701 0.461
Ac 0.740 0.701 0.971
Ac 0.769 0.299 0.029
Ac 0.231 0.701 0.971
Ac 0.769 0.299 0.539
Ac 0.265 0.296 0.530
Rh 0.000 0.500 0.500
Rh 0.500 0.500 0.000
Rh 0.500 0.500 0.500
Co 0.000 0.500 0.000
Cl 0.500 0.000 0.500
Cl 0.000 0.000 0.000
Cl 0.500 0.000 0.000
Cl 0.000 0.000 0.500

Record 2
Ac4CoRuCl2: relaxed, PBE.

a = 4.241 Å, b = 7.322 Å, c = 8.379 Å
α = 107.11°, β = 90.00°, γ = 90.00°
Element x y z (fractional)
Cl 0.500 0.000 0.500
Cl 0.000 0.500 0.500
Ru 0.000 0.000 0.000
Ac 0.000 0.268 0.800
Ac 0.000 0.732 0.200
Ac 0.500 0.764 0.798
Ac 0.500 0.236 0.202
Co 0.500 0.500 0.000

Record 3
Ac6Co2RuCl3: relaxed, PBE.

a = 4.220 Å, b = 9.370 Å, c = 10.276 Å
α = 111.02°, β = 101.85°, γ = 90.00°
Element x y z (fractional)
Ac 0.321 0.445 0.643
Ac 0.679 0.555 0.357
Ac 0.344 0.887 0.687
Ac 0.011 0.226 0.023
Ac 0.989 0.774 0.977
Ac 0.656 0.113 0.313
Cl 0.834 0.165 0.669
Cl 0.500 0.500 0.000
Cl 0.166 0.835 0.331
Co 0.831 0.662 0.662
Co 0.169 0.338 0.338
Ru 0.500 0.000 0.000

Record 4
Ac8Co3RuCl4: relaxed, PBE.

a = 8.418 Å, b = 9.374 Å, c = 8.419 Å
α = 116.72°, β = 120.00°, γ = 90.00°
Element x y z (fractional)
Cl 0.500 0.000 0.500
Cl 0.500 0.000 0.000
Cl 0.000 0.000 0.500
Cl 0.000 0.000 0.000
Ac 0.235 0.701 0.469
Ac 0.732 0.701 0.967
Ac 0.235 0.701 0.967
Ac 0.765 0.299 0.531
Ac 0.765 0.299 0.033
Ac 0.268 0.299 0.033
Ac 0.732 0.696 0.464
Ac 0.268 0.304 0.536
Co 0.500 0.500 0.500
Co 0.000 0.500 0.500
Co 0.500 0.500 0.000
Ru 0.000 0.500 0.000

Record 5
Ac4CoSCl2: relaxed, PBE.

a = 4.146 Å, b = 7.793 Å, c = 7.982 Å
α = 108.23°, β = 90.00°, γ = 90.00°
Element x y z (fractional)
S 0.000 0.000 0.000
Ac 0.000 0.713 0.204
Ac 0.000 0.287 0.796
Ac 0.500 0.753 0.781
Ac 0.500 0.247 0.219
Co 0.500 0.500 0.000
Cl 0.000 0.500 0.500
Cl 0.500 0.000 0.500

Record 6
Ac4CoS2Cl: relaxed, PBE.

a = 4.174 Å, b = 7.660 Å, c = 7.634 Å
α = 71.26°, β = 90.00°, γ = 90.00°
Element x y z (fractional)
Ac 0.500 0.269 0.724
Ac 0.000 0.759 0.737
Ac 0.000 0.241 0.263
Ac 0.500 0.731 0.276
Cl 0.500 0.500 0.000
S 0.000 0.000 0.000
S 0.500 0.000 0.500
Co 0.000 0.500 0.500

Record 7
Ac4CoSe2Cl: relaxed, PBE.

a = 4.242 Å, b = 7.890 Å, c = 7.748 Å
α = 71.49°, β = 90.00°, γ = 90.00°
Element x y z (fractional)
Cl 0.500 0.500 0.000
Ac 0.000 0.746 0.740
Ac 0.500 0.719 0.283
Ac 0.000 0.254 0.260
Ac 0.500 0.281 0.717
Se 0.000 0.000 0.000
Se 0.500 0.000 0.500
Co 0.000 0.500 0.500

Record 8
Ac4CoSeCl2: relaxed, PBE.

a = 4.201 Å, b = 8.086 Å, c = 7.813 Å
α = 108.35°, β = 90.00°, γ = 90.00°
Element x y z (fractional)
Cl 0.000 0.500 0.500
Cl 0.500 0.000 0.500
Co 0.500 0.500 0.000
Ac 0.500 0.736 0.768
Ac 0.000 0.708 0.207
Ac 0.000 0.292 0.793
Ac 0.500 0.264 0.232
Se 0.000 0.000 0.000

Record 9
Ac6Co2SeCl3: relaxed, PBE.

a = 4.226 Å, b = 9.086 Å, c = 10.271 Å
α = 103.21°, β = 101.87°, γ = 90.00°
Element x y z (fractional)
Ac 0.321 0.446 0.642
Ac 0.026 0.257 0.052
Ac 0.327 0.888 0.654
Ac 0.974 0.743 0.948
Ac 0.673 0.112 0.346
Ac 0.679 0.554 0.358
Cl 0.867 0.196 0.733
Cl 0.500 0.500 0.000
Cl 0.133 0.804 0.267
Co 0.827 0.674 0.654
Co 0.173 0.326 0.346
Se 0.500 0.000 0.000

Record 10
Ac6Co2SiCl3: relaxed, PBE.

a = 4.300 Å, b = 9.400 Å, c = 10.128 Å
α = 107.57°, β = 102.25°, γ = 90.00°
Element x y z (fractional)
Ac 0.335 0.875 0.670
Ac 0.982 0.756 0.965
Ac 0.018 0.244 0.035
Ac 0.321 0.445 0.642
Ac 0.679 0.555 0.358
Ac 0.665 0.125 0.330
Co 0.170 0.340 0.339
Co 0.830 0.660 0.661
Si 0.500 0.000 0.000
Cl 0.841 0.158 0.682
Cl 0.159 0.842 0.318
Cl 0.500 0.500 0.000

Record 11
Ac4CoTeCl2: relaxed, PBE.

a = 4.280 Å, b = 8.441 Å, c = 7.756 Å
α = 108.55°, β = 90.00°, γ = 90.00°
Element x y z (fractional)
Cl 0.500 0.000 0.500
Cl 0.000 0.500 0.500
Ac 0.500 0.716 0.756
Ac 0.000 0.702 0.209
Ac 0.500 0.284 0.244
Ac 0.000 0.298 0.791
Te 0.000 0.000 0.000
Co 0.500 0.500 0.000

no.,total moment (μB per atom),D(E_F) (states/eV/f.u.),E_form (uncorrected) (eV per atom)
1,0.0000,3.1,-1.158
2,0.0000,3.6,-0.892
3,0.0000,4.1,-0.883
4,0.0000,4.6,-0.877
5,0.0000,5.4,-1.254
6,0.0000,5.8,-1.321
7,0.0000,5.8,-1.269
8,0.0000,5.1,-1.217
9,0.0000,8.1,-1.099
10,0.0000,4.7,-0.931
11,0.0000,5.1,-1.112